Below is crystalline BaSc at its relaxed geometry, with properties calculated at the PBE level.

Unit cell a=7.889 b=7.889 c=7.889 alpha=98.77 beta=98.77 gamma=134.04
Element x y z (fractional)
Ba1 0.000 0.286 0.286
Ba2 0.000 0.714 0.714
Ba3 0.286 0.000 0.286
Ba4 0.714 0.000 0.714
Sc1 0.345 0.345 0.690
Sc2 0.345 0.655 0.000
Sc3 0.655 0.345 0.000
Sc4 0.655 0.655 0.310

Calculated values
energy	-0.1354	hartree per atom
energy of formation	42.8	kJ per mole of atoms
energy relative to the lowest polymorph listed for this composition	208	meV per atom